This record from Alexandria describes a PBEsol-optimized structure of NpSi2Ir2. The functional is meta-GGA SCAN.

```
data_NpSi2Ir2
_chemical_formula_sum 'Np2 Si4 Ir4'
_cell_length_a 4.074
_cell_length_b 4.074
_cell_length_c 9.817
_cell_angle_alpha 90.00
_cell_angle_beta 90.00
_cell_angle_gamma 90.00
_space_group_name_H-M_alt 'P 4/n m m'
_space_group_IT_number 129
loop_
_space_group_symop_operation_xyz
'x,y,z'
'-x,-y,-z'
'-y+1/2,x,z'
'y+1/2,-x,-z'
'-x+1/2,-y+1/2,z'
'x+1/2,y+1/2,-z'
'y,-x+1/2,z'
'-y,x+1/2,-z'
'x+1/2,-y,-z'
'-x+1/2,y,z'
'-y,-x,-z'
'y,x,z'
'-x,y+1/2,-z'
'x,-y+1/2,z'
'y+1/2,x+1/2,-z'
'-y+1/2,-x+1/2,z'
loop_
_atom_site_label
_atom_site_type_symbol
_atom_site_fract_x
_atom_site_fract_y
_atom_site_fract_z
Np1 Np 0.250 0.250 0.242
Si1 Si 0.250 0.250 0.631
Si2 Si 0.250 0.750 0.000
Ir1 Ir 0.250 0.250 0.870
Ir2 Ir 0.250 0.750 0.500
```

Computed properties:
Density of states at the Fermi level = 25.2 states/eV/cell
Size of the total moment = 7.06 μB/cell
Final energy = -546.23 eV/cell
Volume = 16.29 A^3/atom